The following is a PBE calculation of SrCd2CuSn after structural relaxation, from the Alexandria database.

Computed properties:
space-group type = P4/mmm, No. 123
DOS(E_F) = 2.8 states/eV/cell
E_form = -131 meV per atom
calculated density = 6.15 Mg/m³
magnetization = 0.0 μB/cell

a b c (Å): 5.067 5.067 5.204
angles (deg): 90.00 90.00 90.00
Element x y z (fractional)
Cd: 0.000 0.500 0.000
Cd: 0.500 0.000 0.000
Sn: 0.000 0.000 0.500
Sr: 0.500 0.500 0.500
Cu: 0.000 0.000 0.000